Here is Rb3MoF after structural relaxation from Alexandria via LeMat-Bulk. Energies are from PBE+U.

Geometry as extended XYZ:
```
5
Lattice="-0.396 1.363 -5.718 3.542 -4.518 -1.322 -4.691 -3.526 -0.516" Properties=species:S:1:pos:R:3 pbc="T T T"
Rb -0.198 0.682 -2.859
Rb 1.771 -2.259 -0.661
Rb -2.346 -1.763 -0.258
Mo -0.772 -3.341 -3.778
F 0.000 0.000 0.000
```

## Properties
SG: Pm-3m, No. 221
Raw total energy, eV/atom: -2.847
N(E_F), states/eV/cell: 1.926